Nd4TlCd2Ag: optimized geometry, PBE-GGA.

Unit cell a=9.4372 b=9.4372 c=9.4372 alpha=33.43 beta=33.43 gamma=33.43
With the nearest neighbours (Å) after each atom.
Fractional positions:
Nd1 0.1222 0.1222 0.1222  1 Ag 3.26, 4 Cd 3.29-3.38, 3 Tl 3.35
Nd2 0.3726 0.3726 0.3726  4 Cd 3.30-3.36, 3 Ag 3.30, 1 Tl 3.40
Nd3 0.6274 0.6274 0.6274  4 Cd 3.30-3.36, 3 Ag 3.30, 1 Tl 3.40
Nd4 0.8778 0.8778 0.8778  1 Ag 3.26, 4 Cd 3.29-3.38, 3 Tl 3.35
Tl1 0.5000 0.5000 0.5000  8 Nd 3.35-3.40
Cd1 0.2488 0.2488 0.2488  8 Nd 3.29-3.38
Cd2 0.7512 0.7512 0.7512  8 Nd 3.29-3.38
Ag1 0.0000 0.0000 0.0000  8 Nd 3.26-3.30

DOS(E_F): 9.01 states/eV/cell
Energy: -3.576 eV per atom
SG: No. 166
Size of the total moment: 1.5 μB/cell